# CaPuAs | the Alexandria database | PBE | optimized geometry
data_CaPuAs
_cell_length_a 6.885
_cell_length_b 4.052
_cell_length_c 4.052
_cell_angle_alpha 120.00
_cell_angle_beta 90.00
_cell_angle_gamma 90.00
_space_group_name_H-M_alt 'P 1'
_space_group_IT_number 1
loop_
_space_group_symop_operation_xyz
'x,y,z'
loop_
_atom_site_label
_atom_site_fract_x
_atom_site_fract_y
_atom_site_fract_z
_atom_site_occupancy
As1 0.006 0.000 0.000 1
Ca1 0.750 0.667 0.333 1
Pu1 0.244 0.333 0.667 1
# Total DFT energy (no corrections) ... -22.5 eV per cell
# Symmetry ... No. 156